# ErScCr4

An optimized crystal structure of ErScCr4 (PBE-GGA, the Alexandria database).

Cell lengths 7.213, 7.213, 7.213 Å; angles 90.00, 90.00, 90.00 degrees
Space group F-43m (No. 216)
Unique sites:
Er: 0.000 0.000 0.000 x4
Sc: 0.250 0.250 0.250 x4
Cr: 0.125 0.125 0.625 x16

Results
Formation energy from the elements, meV per atom: 223.2
Crystal system: cubic
Calculated volume, Å³/cell: 375